# La3AlO

Crystalline La3AlO at its relaxed geometry (PBE-GGA, the Alexandria database).

Computed properties:
- Volume: 38.10 Å³/atom
- M_tot: 0.00 Bohr magnetons per cell
- Calculated total energy: -5.2387 eV/atom
- Crystal system: tetragonal
- ΔE_f (raw): -542 meV per atom
- Symmetry: No. 99

Cell: 4.907 4.907 7.914 Å, 90.00 90.00 90.00°
Atoms (fractional coordinates):
La1 0.000 0.000 0.000
La2 0.000 0.500 0.623
La3 0.500 0.000 0.623
Al1 0.000 0.000 0.378
O1 0.500 0.500 0.629


# La2AlO

Crystalline La2AlO at its relaxed geometry (PBE-GGA, the Alexandria database).

Computed properties:
- Volume: 24.02 Å³/atom
- Distance to the lowest polymorph of the same formula: 0.0 meV/atom
- M_tot: 0.00 Bohr magnetons per cell
- Calculated total energy: -6.0530 eV/atom
- Crystal system: trigonal
- ΔE_f (raw): -1414 meV per atom
- Symmetry: No. 166

Cell: 7.967 7.967 7.967 Å, 27.64 27.64 27.64°
Atoms (fractional coordinates):
La1 0.229 0.229 0.229
La2 0.771 0.771 0.771
Al1 0.000 0.000 0.000
O1 0.500 0.500 0.500


# La3AlO

Crystalline La3AlO at its relaxed geometry (PBE-GGA, the Alexandria database).

Computed properties:
- Volume: 35.42 Å³/atom
- M_tot: 3.92 Bohr magnetons per cell
- Calculated total energy: -5.6709 eV/atom
- Crystal system: trigonal
- ΔE_f (raw): -974 meV per atom
- Symmetry: No. 167

Cell: 8.823 8.823 8.823 Å, 48.57 48.57 48.57°
Atoms (fractional coordinates):
La1 0.060 0.750 0.440
La2 0.250 0.560 0.940
La3 0.440 0.060 0.750
La4 0.560 0.940 0.250
La5 0.750 0.440 0.060
La6 0.940 0.250 0.560
Al1 0.000 0.000 0.000
Al2 0.500 0.500 0.500
O1 0.250 0.250 0.250
O2 0.750 0.750 0.750


# LaAl12O19

Crystalline LaAl12O19 at its relaxed geometry (PBE-GGA, the Alexandria database).

Computed properties:
- Volume: 9.63 Å³/atom
- M_tot: 0.75 Bohr magnetons per cell
- Calculated total energy: -7.4736 eV/atom
- Crystal system: hexagonal
- ΔE_f (raw): -2972 meV per atom
- Symmetry: No. 186

Cell: 5.641 5.641 22.357 Å, 90.00 90.00 120.00°
Atoms (fractional coordinates):
La1 0.333 0.667 0.000
La2 0.667 0.333 0.500
Al1 0.000 0.000 0.248
Al2 0.000 0.000 0.486
Al3 0.000 0.000 0.748
Al4 0.000 0.000 0.986
Al5 0.167 0.334 0.139
Al6 0.167 0.833 0.139
Al7 0.169 0.338 0.856
Al8 0.169 0.831 0.856
Al9 0.333 0.667 0.274
Al10 0.333 0.667 0.437
Al11 0.333 0.667 0.558
Al12 0.333 0.667 0.722
Al13 0.334 0.167 0.639
Al14 0.338 0.169 0.356
Al15 0.662 0.831 0.856
Al16 0.666 0.833 0.139
Al17 0.667 0.333 0.058
Al18 0.667 0.333 0.222
Al19 0.667 0.333 0.774
Al20 0.667 0.333 0.937
Al21 0.831 0.169 0.356
Al22 0.831 0.662 0.356
Al23 0.833 0.167 0.639
Al24 0.833 0.666 0.639
O1 0.000 0.000 0.101
O2 0.000 0.000 0.399
O3 0.000 0.000 0.601
O4 0.000 0.000 0.899
O5 0.008 0.504 0.097
O6 0.009 0.505 0.898
O7 0.154 0.309 0.301
O8 0.154 0.846 0.301
O9 0.156 0.311 0.696
O10 0.156 0.844 0.696
O11 0.181 0.362 0.497
O12 0.181 0.819 0.497
O13 0.309 0.154 0.801
O14 0.311 0.156 0.196
O15 0.333 0.667 0.191
O16 0.333 0.667 0.805
O17 0.362 0.181 0.997
O18 0.495 0.505 0.898
O19 0.495 0.991 0.898
O20 0.496 0.504 0.097
O21 0.496 0.992 0.097
O22 0.504 0.008 0.597
O23 0.504 0.496 0.597
O24 0.505 0.009 0.398
O25 0.505 0.495 0.398
O26 0.638 0.819 0.497
O27 0.667 0.333 0.305
O28 0.667 0.333 0.691
O29 0.689 0.844 0.696
O30 0.691 0.846 0.301
O31 0.819 0.181 0.997
O32 0.819 0.638 0.997
O33 0.844 0.156 0.196
O34 0.844 0.689 0.196
O35 0.846 0.154 0.801
O36 0.846 0.691 0.801
O37 0.991 0.495 0.398
O38 0.992 0.496 0.597


# La4Al3O10

Crystalline La4Al3O10 at its relaxed geometry (PBE-GGA, the Alexandria database).

Computed properties:
- Volume: 11.83 Å³/atom
- M_tot: 0.67 Bohr magnetons per cell
- Calculated total energy: -7.9617 eV/atom
- Crystal system: tetragonal
- ΔE_f (raw): -3225 meV per atom
- Symmetry: No. 139

Cell: 14.217 14.217 14.217 Å, 164.66 164.66 21.77°
Atoms (fractional coordinates):
La1 0.068 0.068 0.000
La2 0.204 0.204 0.000
La3 0.796 0.796 0.000
La4 0.932 0.932 0.000
Al1 0.363 0.363 0.000
Al2 0.500 0.500 0.000
Al3 0.637 0.637 0.000
O1 0.000 0.500 0.500
O2 0.136 0.636 0.500
O3 0.292 0.292 0.000
O4 0.364 0.864 0.500
O5 0.432 0.432 0.000
O6 0.500 0.000 0.500
O7 0.568 0.568 0.000
O8 0.636 0.136 0.500
O9 0.708 0.708 0.000
O10 0.864 0.364 0.500


# La3AlO

Crystalline La3AlO at its relaxed geometry (PBE-GGA, the Alexandria database).

Computed properties:
- Volume: 25.53 Å³/atom
- M_tot: 0.00 Bohr magnetons per cell
- Calculated total energy: -6.0395 eV/atom
- Crystal system: cubic
- ΔE_f (raw): -1343 meV per atom
- Symmetry: No. 221

Cell: 5.035 5.035 5.035 Å, 90.00 90.00 90.00°
Atoms (fractional coordinates):
La1 0.000 0.000 0.500
La2 0.000 0.500 0.000
La3 0.500 0.000 0.000
Al1 0.500 0.500 0.500
O1 0.000 0.000 0.000


# La4Al2O9

Crystalline La4Al2O9 at its relaxed geometry (PBE-GGA, the Alexandria database).

Computed properties:
- Volume: 16.02 Å³/atom
- Distance to the lowest polymorph of the same formula: 0.0 meV/atom
- M_tot: 0.00 Bohr magnetons per cell
- Calculated total energy: -8.1645 eV/atom
- Crystal system: monoclinic
- ΔE_f (raw): -3377 meV per atom
- Symmetry: No. 14

Cell: 7.963 11.121 11.526 Å, 90.00 109.70 90.00°
Atoms (fractional coordinates):
La1 0.024 0.096 0.290
La2 0.024 0.404 0.790
La3 0.167 0.625 0.573
La4 0.167 0.875 0.073
La5 0.338 0.126 0.917
La6 0.338 0.374 0.417
La7 0.473 0.583 0.190
La8 0.473 0.917 0.690
La9 0.527 0.083 0.310
La10 0.527 0.417 0.810
La11 0.662 0.626 0.583
La12 0.662 0.874 0.083
La13 0.833 0.125 0.927
La14 0.833 0.375 0.427
La15 0.976 0.596 0.210
La16 0.976 0.904 0.710
Al1 0.151 0.192 0.622
Al2 0.151 0.308 0.122
Al3 0.273 0.694 0.869
Al4 0.273 0.806 0.369
Al5 0.727 0.194 0.631
Al6 0.727 0.306 0.131
Al7 0.849 0.692 0.878
Al8 0.849 0.808 0.378
O1 0.064 0.740 0.880
O2 0.064 0.760 0.380
O3 0.071 0.009 0.899
O4 0.071 0.491 0.399
O5 0.139 0.226 0.470
O6 0.139 0.274 0.970
O7 0.203 0.042 0.675
O8 0.203 0.458 0.175
O9 0.269 0.719 0.238
O10 0.269 0.781 0.738
O11 0.279 0.542 0.827
O12 0.279 0.958 0.327
O13 0.282 0.217 0.246
O14 0.282 0.283 0.746
O15 0.417 0.733 0.017
O16 0.417 0.767 0.517
O17 0.425 0.000 0.106
O18 0.425 0.500 0.606
O19 0.575 0.000 0.894
O20 0.575 0.500 0.394
O21 0.583 0.233 0.483
O22 0.583 0.267 0.983
O23 0.718 0.717 0.254
O24 0.718 0.783 0.754
O25 0.721 0.042 0.673
O26 0.721 0.458 0.173
O27 0.731 0.219 0.262
O28 0.731 0.281 0.762
O29 0.797 0.542 0.825
O30 0.797 0.958 0.325
O31 0.861 0.726 0.030
O32 0.861 0.774 0.530
O33 0.929 0.509 0.601
O34 0.929 0.991 0.101
O35 0.936 0.240 0.620
O36 0.936 0.260 0.120


# La3AlO

Crystalline La3AlO at its relaxed geometry (PBE-GGA, the Alexandria database).

Computed properties:
- Volume: 28.52 Å³/atom
- M_tot: 0.00 Bohr magnetons per cell
- Calculated total energy: -5.9050 eV/atom
- Crystal system: monoclinic
- ΔE_f (raw): -1208 meV per atom
- Symmetry: No. 11

Cell: 3.796 8.749 8.586 Å, 90.00 90.05 90.00°
Atoms (fractional coordinates):
La1 0.000 0.250 0.024
La2 0.000 0.750 0.976
La3 0.499 0.034 0.694
La4 0.499 0.466 0.694
La5 0.501 0.534 0.306
La6 0.501 0.966 0.306
Al1 0.001 0.250 0.430
Al2 0.999 0.750 0.570
O1 0.500 0.250 0.859
O2 0.500 0.750 0.141


# La3AlO

Crystalline La3AlO at its relaxed geometry (PBE-GGA, the Alexandria database).

Computed properties:
- Volume: 25.82 Å³/atom
- M_tot: 0.00 Bohr magnetons per cell
- Calculated total energy: -5.8995 eV/atom
- Crystal system: triclinic
- ΔE_f (raw): -1203 meV per atom
- Symmetry: No. 2

Cell: 6.069 6.633 6.715 Å, 87.59 84.13 73.79°
Atoms (fractional coordinates):
La1 0.150 0.285 0.099
La2 0.316 0.724 0.225
La3 0.316 0.899 0.703
La4 0.684 0.101 0.297
La5 0.684 0.276 0.775
La6 0.850 0.715 0.901
Al1 0.195 0.388 0.572
Al2 0.805 0.612 0.428
O1 0.000 0.000 0.000
O2 0.500 0.000 0.000